1.
## ThMgPa (PBE-GGA)

Data for a relaxed structure of ThMgPa.

Total moment ... 1.03 μB per formula unit
Excess energy over the best structure of this formula in the dataset ... 0.0 meV per atom
Crystal system ... cubic

CIF file:
```
data_ThMgPa
_cell_length_a 7.1569
_cell_length_b 7.1569
_cell_length_c 7.1569
_cell_angle_alpha 90.00
_cell_angle_beta 90.00
_cell_angle_gamma 90.00
_space_group_name_H-M_alt 'F -4 3 m'
_space_group_IT_number 216
_space_group_name_Hall 'F -4 2 3'
loop_
_atom_site_label
_atom_site_type_symbol
_atom_site_fract_x
_atom_site_fract_y
_atom_site_fract_z
Th1 Th 0.0000 0.0000 0.0000
Mg1 Mg 0.2500 0.2500 0.7500
Pa1 Pa 0.0000 0.0000 0.5000
```

=====

2.
## TmMgPa (PBE-GGA)

Data for a relaxed structure of TmMgPa.

Total moment ... 1.55 μB per formula unit
Excess energy over the best structure of this formula in the dataset ... 0.0 meV per atom
Crystal system ... cubic

CIF file:
```
data_TmMgPa
_cell_length_a 7.1190
_cell_length_b 7.1190
_cell_length_c 7.1190
_cell_angle_alpha 90.00
_cell_angle_beta 90.00
_cell_angle_gamma 90.00
_space_group_name_H-M_alt 'F -4 3 m'
_space_group_IT_number 216
_space_group_name_Hall 'F -4 2 3'
loop_
_atom_site_label
_atom_site_type_symbol
_atom_site_fract_x
_atom_site_fract_y
_atom_site_fract_z
Tm1 Tm 0.0000 0.0000 0.0000
Mg1 Mg 0.2500 0.2500 0.7500
Pa1 Pa 0.0000 0.0000 0.5000
```

=====

3.
## MgPaW (PBE-GGA)

Data for a relaxed structure of MgPaW.

Total moment ... 0.01 μB per formula unit
Excess energy over the best structure of this formula in the dataset ... 0.0 meV per atom
Crystal system ... cubic

CIF file:
```
data_MgPaW
_cell_length_a 6.4790
_cell_length_b 6.4790
_cell_length_c 6.4790
_cell_angle_alpha 90.00
_cell_angle_beta 90.00
_cell_angle_gamma 90.00
_space_group_name_H-M_alt 'F -4 3 m'
_space_group_IT_number 216
_space_group_name_Hall 'F -4 2 3'
loop_
_atom_site_label
_atom_site_type_symbol
_atom_site_fract_x
_atom_site_fract_y
_atom_site_fract_z
Mg1 Mg 0.0000 0.0000 0.0000
Pa1 Pa 0.2500 0.2500 0.7500
W1 W 0.2500 0.2500 0.2500
```